{
  "formula": "Dy2ZrAl2Pd5",
  "functional": "PBE",
  "state": "relaxed",
  "total_magnetization_mub_per_fu": 0.0,
  "delta_e_f_mev_per_atom": -816.1,
  "lattice_angstrom": [[3.654, 0.000, 0.000], [0.000, 10.108, 0.000], [0.000, 0.000, 10.108]],
  "species": ["Dy", "Dy", "Dy", "Dy", "Zr", "Zr", "Al", "Al", "Al", "Al", "Pd", "Pd", "Pd", "Pd", "Pd", "Pd", "Pd", "Pd", "Pd", "Pd"],
  "frac_coords": [[0.000, 0.675, 0.175], [0.000, 0.325, 0.825], [0.000, 0.175, 0.325], [0.000, 0.825, 0.675], [0.000, 0.000, 0.000], [0.000, 0.500, 0.500], [0.000, 0.122, 0.622], [0.000, 0.878, 0.378], [0.000, 0.622, 0.878], [0.000, 0.378, 0.122], [0.500, 0.208, 0.060], [0.500, 0.792, 0.940], [0.500, 0.060, 0.792], [0.500, 0.708, 0.440], [0.500, 0.940, 0.208], [0.500, 0.292, 0.560], [0.500, 0.560, 0.708], [0.500, 0.440, 0.292], [0.500, 0.500, 0.000], [0.500, 0.000, 0.500]]
}